VASP calculation (PBE) on a relaxed Tl2PbSe2 crystal.

a b c (Å): 10.247 8.504 7.992
angles (deg): 90.00 97.34 90.00
Fractional positions:
Tl  0.058  0.248  0.036
Tl  0.058  0.252  0.536
Tl  0.324  0.697  0.488
Tl  0.324  0.803  0.988
Tl  0.676  0.197  0.012
Tl  0.676  0.303  0.512
Tl  0.942  0.748  0.464
Tl  0.942  0.752  0.964
Pb  0.347  0.129  0.367
Pb  0.347  0.371  0.867
Pb  0.653  0.629  0.133
Pb  0.653  0.871  0.633
Se  0.122  0.585  0.747
Se  0.122  0.915  0.247
Se  0.430  0.045  0.716
Se  0.430  0.455  0.216
Se  0.570  0.545  0.784
Se  0.570  0.955  0.284
Se  0.878  0.085  0.753
Se  0.878  0.415  0.253

Calculated values
E above lowest polymorph   0.04 eV/f.u.
Magnetization   0.0 μB/f.u.
ρ   7.44 g/cm3

VASP calculation (PBE) on a relaxed CrRu2Au crystal.

a b c (Å): 2.784 3.805 5.576
angles (deg): 90.00 90.00 90.00
Fractional positions:
Cr  0.000  0.000  0.000
Ru  0.000  0.000  0.441
Ru  0.500  0.500  0.231
Au  0.500  0.500  0.731

Calculated values
E above lowest polymorph   0.14 eV/f.u.
Magnetization   2.1 μB/f.u.
ΔH_f (0 K)   0.234 eV per atom
ρ   12.68 g/cm3

VASP calculation (PBE) on a relaxed Ac4SbAs2S crystal.

a b c (Å): 7.885 4.566 7.920
angles (deg): 90.00 109.43 90.00
Fractional positions:
Ac  0.241  0.000  0.240
Ac  0.247  0.500  0.757
Ac  0.753  0.500  0.243
Ac  0.759  0.000  0.760
Sb  0.500  0.500  0.500
As  0.000  0.500  0.000
As  0.500  0.000  0.000
S  0.000  0.000  0.500

Calculated values
Magnetization   0.0 μB/f.u.
Raw total energy   -46.39 eV/cell
ρ   7.48 g/cm3

VASP calculation (PBE) on a relaxed Na2Y2HfSe6 crystal.

a b c (Å): 6.979 6.979 7.476
angles (deg): 99.17 99.17 119.46
Fractional positions:
Na  0.170  0.830  0.000
Na  0.830  0.170  0.000
Y  0.333  0.667  0.500
Y  0.667  0.333  0.500
Hf  0.000  0.000  0.500
Se  0.075  0.391  0.723
Se  0.239  0.239  0.279
Se  0.391  0.075  0.723
Se  0.609  0.925  0.277
Se  0.761  0.761  0.721
Se  0.925  0.609  0.277

Calculated values
Magnetization   0.0 μB/f.u.
Raw total energy   -64.02 eV/cell
ρ   4.84 g/cm3

VASP calculation (PBE) on a relaxed Sr2TlGaPd crystal.

a b c (Å): 5.895 5.895 4.811
angles (deg): 90.00 90.00 90.00
Fractional positions:
Sr  0.000  0.500  0.000
Sr  0.500  0.000  0.000
Tl  0.000  0.000  0.500
Ga  0.500  0.500  0.500
Pd  0.500  0.500  0.000

Calculated values
Magnetization   0.0 μB/f.u.
ΔH_f (0 K)   -0.399 eV per atom
ρ   5.52 g/cm3

VASP calculation (PBE) on a relaxed KI2O4 crystal.

a b c (Å): 4.485 4.485 7.701
angles (deg): 91.94 91.94 89.77
Fractional positions:
K  0.000  0.000  0.000
I  0.492  0.492  0.268
I  0.508  0.508  0.732
O  0.079  0.531  0.234
O  0.469  0.921  0.766
O  0.531  0.079  0.234
O  0.921  0.469  0.766

Calculated values
E above lowest polymorph   0.00 eV/f.u.
Magnetization   0.0 μB/f.u.
ρ   3.83 g/cm3

VASP calculation (PBE) on a relaxed La3Er3CuSe8 crystal.

a b c (Å): 8.323 8.323 8.323
angles (deg): 59.30 59.30 59.30
Fractional positions:
La  0.000  0.500  0.500
La  0.500  0.000  0.500
La  0.500  0.500  0.000
Er  0.000  0.000  0.500
Er  0.000  0.500  0.000
Er  0.500  0.000  0.000
Cu  0.500  0.500  0.500
Se  0.243  0.243  0.243
Se  0.244  0.742  0.742
Se  0.258  0.258  0.756
Se  0.258  0.756  0.258
Se  0.742  0.244  0.742
Se  0.742  0.742  0.244
Se  0.756  0.258  0.258
Se  0.757  0.757  0.757

Calculated values
Magnetization   0.0 μB/f.u.
Raw total energy   -85.57 eV/cell
ρ   6.68 g/cm3

VASP calculation (PBE) on a relaxed KLiFeCl5 crystal.

a b c (Å): 7.565 7.565 8.721
angles (deg): 101.88 101.88 103.63
Fractional positions:
K  0.177  0.823  0.750
K  0.823  0.177  0.250
Li  0.500  0.500  0.000
Li  0.500  0.500  0.500
Fe  0.172  0.828  0.250
Fe  0.828  0.172  0.750
Cl  0.096  0.225  0.935
Cl  0.159  0.598  0.373
Cl  0.225  0.096  0.435
Cl  0.402  0.841  0.127
Cl  0.436  0.564  0.750
Cl  0.564  0.436  0.250
Cl  0.598  0.159  0.873
Cl  0.775  0.904  0.565
Cl  0.841  0.402  0.627
Cl  0.904  0.775  0.065

Calculated values
Magnetization   5.0 μB/f.u.
Raw total energy   -62.77 eV/cell
ρ   2.03 g/cm3

- Look up the magnetization of the sixth one.
  0.0 μB/f.u.

- Number 4 is which compound?
  Na2Y2HfSe6

Please write out number 3 again, unchanged.
VASP calculation (PBE) on a relaxed Ac4SbAs2S crystal.

a b c (Å): 7.885 4.566 7.920
angles (deg): 90.00 109.43 90.00
Fractional positions:
Ac  0.241  0.000  0.240
Ac  0.247  0.500  0.757
Ac  0.753  0.500  0.243
Ac  0.759  0.000  0.760
Sb  0.500  0.500  0.500
As  0.000  0.500  0.000
As  0.500  0.000  0.000
S  0.000  0.000  0.500

Calculated values
Magnetization   0.0 μB/f.u.
Raw total energy   -46.39 eV/cell
ρ   7.48 g/cm3

- magnetization of number 5 (Sr2TlGaPd)?
  0.0 μB/f.u.